# 1
Here is a geometry-optimized NaLaDy structure from Alexandria. Energies are from PBE.

a b c (Å): 3.607 3.607 9.352
angles (deg): 90.00 90.00 120.00
Positions (direct):
Na 0.000 0.000 0.006
La 0.333 0.667 0.649
Dy 0.667 0.333 0.346

Computed properties:
Formation energy from the elements = 122 meV per atom
Symmetry = P3m1 (156)

=====

# 2
Here is a geometry-optimized TiNb2Cd structure from Alexandria. Energies are from PBE.

a b c (Å): 3.402 3.402 6.390
angles (deg): 90.00 90.00 90.00
Positions (direct):
Ti 0.500 0.500 0.000
Nb 0.000 0.000 0.776
Nb 0.000 0.000 0.224
Cd 0.500 0.500 0.500

Computed properties:
Formation energy from the elements = 163 meV per atom
Symmetry = P4/mmm (123)

=====

# 3
Here is a geometry-optimized SiH2Br structure from Alexandria. Energies are from PBE.

a b c (Å): 3.343 4.119 6.086
angles (deg): 109.60 90.13 113.61
Positions (direct):
H 0.348 0.641 0.248
H 0.105 0.638 0.247
Br 0.368 0.922 0.770
Si 0.087 0.344 0.453

Computed properties:
Final energy = -0.2328 Ry/atom
Symmetry = P1 (1)

=====

# 4
Here is a geometry-optimized Tb8PmNd4 structure from Alexandria. Energies are from PBE.

a b c (Å): 11.107 11.107 7.851
angles (deg): 90.00 135.02 120.00
Site moments in Bohr magnetons follow the coordinates.
Positions (direct):
Tb 0.478 0.239 0.717  0.08
Tb 0.522 0.761 0.761  0.07
Tb 0.000 0.239 0.239  0.07
Tb 0.000 0.239 0.761  0.07
Tb 0.000 0.761 0.239  0.07
Tb 0.478 0.239 0.239  0.07
Tb 0.522 0.761 0.283  0.08
Tb 0.000 0.761 0.761  0.07
Nd 0.000 0.000 0.000  -0.06
Nd 0.500 0.500 0.000  0.16
Nd 0.000 0.500 0.000  0.16
Nd 0.500 0.000 0.000  0.16
Pm 0.000 0.500 0.500  0.06

Computed properties:
Formation energy from the elements = 508 meV per atom
Symmetry = R-3m (166)

=====

# 5
Here is a geometry-optimized KReBr3 structure from Alexandria. Energies are from PBE.

a b c (Å): 5.333 5.333 5.333
angles (deg): 90.00 90.00 90.00
Site moments in Bohr magnetons follow the coordinates.
Positions (direct):
Br 0.000 0.000 0.500  0.08
Br 0.500 0.000 0.000  0.08
Br 0.000 0.500 0.000  0.08
Re 0.000 0.000 0.000  2.81
K 0.500 0.500 0.500  0.00

Computed properties:
E_form (uncorrected) = -231 meV per atom
Symmetry = Pm-3m (221)

=====

# 6
Here is a geometry-optimized DyHo2Er2Mg5 structure from Alexandria. Energies are from PBE.

a b c (Å): 5.054 10.518 10.518
angles (deg): 90.00 90.00 90.00
Positions (direct):
Mg 0.500 0.500 0.000
Mg 0.500 0.000 0.500
Mg 0.500 0.925 0.197
Mg 0.500 0.575 0.697
Mg 0.500 0.697 0.425
Mg 0.500 0.425 0.303
Mg 0.500 0.075 0.803
Mg 0.500 0.303 0.575
Mg 0.500 0.803 0.925
Mg 0.500 0.197 0.075
Dy 0.000 0.000 0.000
Dy 0.000 0.500 0.500
Ho 0.000 0.322 0.822
Ho 0.000 0.822 0.678
Ho 0.000 0.678 0.178
Ho 0.000 0.178 0.322
Er 0.000 0.381 0.119
Er 0.000 0.881 0.381
Er 0.000 0.119 0.619
Er 0.000 0.619 0.881

Computed properties:
Formation energy from the elements = 83 meV per atom
Symmetry = P4/mbm (127)

=====

# 7
Here is a geometry-optimized LiAl4Pt2 structure from Alexandria. Energies are from PBE.

a b c (Å): 4.159 7.181 15.629
angles (deg): 90.00 90.00 90.00
Positions (direct):
Al 0.250 0.109 0.535
Al 0.750 0.732 0.307
Al 0.750 0.336 0.314
Al 0.250 0.232 0.193
Al 0.750 0.538 0.565
Al 0.750 0.962 0.065
Al 0.750 0.891 0.465
Al 0.250 0.664 0.686
Al 0.750 0.609 0.965
Al 0.750 0.164 0.814
Al 0.250 0.038 0.935
Al 0.250 0.462 0.435
Al 0.250 0.391 0.035
Al 0.750 0.768 0.807
Al 0.250 0.836 0.186
Al 0.250 0.268 0.693
Li 0.250 0.034 0.356
Li 0.750 0.534 0.144
Li 0.250 0.466 0.856
Li 0.750 0.966 0.644
Pt 0.750 0.036 0.225
Pt 0.250 0.751 0.031
Pt 0.750 0.464 0.725
Pt 0.250 0.964 0.775
Pt 0.750 0.251 0.469
Pt 0.750 0.249 0.969
Pt 0.250 0.536 0.275
Pt 0.250 0.749 0.531

Computed properties:
Formation energy from the elements = -757 meV per atom
Symmetry = Pnma (62)

=====

# 8
Here is a geometry-optimized Th3SiP2Ir9 structure from Alexandria. Energies are from PBE.

a b c (Å): 5.742 5.742 10.022
angles (deg): 90.00 90.00 120.00
Positions (direct):
Ir 0.161 0.322 0.314
Ir 0.500 0.000 0.000
Ir 0.839 0.161 0.686
Ir 0.678 0.839 0.314
Ir 0.161 0.839 0.314
Ir 0.322 0.161 0.686
Ir 0.500 0.500 0.000
Ir 0.000 0.500 0.000
Ir 0.839 0.678 0.686
P 0.333 0.667 0.161
P 0.667 0.333 0.839
Th 0.000 0.000 0.000
Th 0.667 0.333 0.407
Th 0.333 0.667 0.593
Si 0.000 0.000 0.500

Computed properties:
E_form (uncorrected) = -619 meV per atom
Symmetry = P-3m1 (164)

=====

Spin magnetization (computed, μB per atom): 0.0000, 0.0000, 0.0000, 0.1257, 0.7144, 0.0000, 0.0000, 0.0000
Density of states at the Fermi level (computed, states/eV/f.u.): 4.08, 5.28, 0.79, 20.07, 1.30, 8.08, 2.73, 5.25